[1]
VASP calculation (PBEsol) on a relaxed BaCa3Ni crystal.

Cell: 5.608 5.608 5.608 Å, 90.00 90.00 90.00°
Positions (direct):
Ba1 0.000 0.000 0.000
Ca1 0.000 0.500 0.500
Ca2 0.500 0.000 0.500
Ca3 0.500 0.500 0.000
Ni1 0.500 0.500 0.500

Properties
E_tot: -14.76 eV/cell
energy of formation: -10 meV per atom

=====

[2]
VASP calculation (PBEsol) on a relaxed Ba2CaOsO6 crystal.

Cell: 5.900 5.900 5.900 Å, 60.00 60.00 60.00°
Positions (direct):
Ba1 0.250 0.250 0.250
Ba2 0.750 0.750 0.750
Ca1 0.000 0.000 0.000
Os1 0.500 0.500 0.500
O1 0.269 0.269 0.731
O2 0.269 0.731 0.269
O3 0.269 0.731 0.731
O4 0.731 0.269 0.269
O5 0.731 0.269 0.731
O6 0.731 0.731 0.269

Properties
E_tot: -73.12 eV/cell
raw formation energy: -2.297 eV/atom

=====

[3]
VASP calculation (PBEsol) on a relaxed Ba2CaV2P4O18 crystal.

Cell: 7.250 7.026 14.390 Å, 90.00 102.76 90.00°
Positions (direct):
Ba1 0.000 0.016 0.000
Ba2 0.000 0.984 0.500
Ba3 0.242 0.468 0.147
Ba4 0.242 0.532 0.647
Ca1 0.454 0.276 0.921
Ca2 0.454 0.724 0.421
V1 0.467 0.227 0.406
V2 0.467 0.773 0.906
V3 0.788 0.267 0.743
V4 0.788 0.733 0.243
P1 0.086 0.472 0.379
P2 0.086 0.528 0.879
P3 0.179 0.045 0.768
P4 0.179 0.955 0.268
P5 0.496 0.034 0.579
P6 0.496 0.966 0.079
P7 0.757 0.467 0.576
P8 0.757 0.533 0.076
O1 0.149 0.361 0.947
O2 0.149 0.639 0.447
O3 0.162 0.098 0.190
O4 0.162 0.902 0.690
O5 0.280 0.035 0.371
O6 0.280 0.965 0.871
O7 0.283 0.406 0.354
O8 0.283 0.594 0.854
O9 0.288 0.228 0.761
O10 0.288 0.772 0.261
O11 0.345 0.189 0.552
O12 0.345 0.811 0.052
O13 0.421 0.169 0.071
O14 0.421 0.831 0.571
O15 0.575 0.213 0.322
O16 0.575 0.787 0.822
O17 0.600 0.431 0.482
O18 0.600 0.569 0.982
O19 0.608 0.047 0.492
O20 0.608 0.953 0.992
O21 0.639 0.073 0.673
O22 0.639 0.927 0.173
O23 0.647 0.454 0.660
O24 0.647 0.546 0.160
O25 0.694 0.275 0.835
O26 0.694 0.725 0.335
O27 0.843 0.341 0.065
O28 0.843 0.659 0.565
O29 0.900 0.303 0.603
O30 0.900 0.697 0.103
O31 0.974 0.462 0.779
O32 0.974 0.538 0.279
O33 0.976 0.093 0.786
O34 0.976 0.907 0.286
O35 0.989 0.312 0.417
O36 0.989 0.688 0.917

Properties
E_tot: -426.01 eV/cell
raw formation energy: -2.580 eV/atom

=====

[4]
VASP calculation (PBEsol) on a relaxed BaCaVP2O9 crystal.

Cell: 7.289 7.024 14.440 Å, 90.00 101.48 90.00°
Positions (direct):
Ba1 0.120 0.234 0.072
Ba2 0.120 0.266 0.572
Ba3 0.880 0.734 0.428
Ba4 0.880 0.766 0.928
Ca1 0.311 0.019 0.839
Ca2 0.311 0.481 0.339
Ca3 0.689 0.519 0.661
Ca4 0.689 0.981 0.161
V1 0.345 0.515 0.833
V2 0.345 0.985 0.333
V3 0.655 0.015 0.667
V4 0.655 0.485 0.167
P1 0.038 0.724 0.200
P2 0.038 0.776 0.700
P3 0.378 0.724 0.999
P4 0.378 0.776 0.499
P5 0.622 0.224 0.501
P6 0.622 0.276 0.001
P7 0.962 0.224 0.300
P8 0.962 0.276 0.800
O1 0.003 0.617 0.626
O2 0.003 0.883 0.126
O3 0.139 0.547 0.175
O4 0.139 0.953 0.675
O5 0.152 0.713 0.799
O6 0.152 0.787 0.299
O7 0.163 0.179 0.280
O8 0.163 0.321 0.780
O9 0.238 0.558 0.975
O10 0.238 0.942 0.475
O11 0.282 0.581 0.495
O12 0.282 0.919 0.995
O13 0.455 0.532 0.746
O14 0.455 0.968 0.246
O15 0.478 0.201 0.407
O16 0.478 0.299 0.907
O17 0.488 0.721 0.914
O18 0.488 0.779 0.414
O19 0.512 0.221 0.586
O20 0.512 0.279 0.086
O21 0.522 0.701 0.093
O22 0.522 0.799 0.593
O23 0.545 0.032 0.754
O24 0.545 0.468 0.254
O25 0.718 0.081 0.005
O26 0.718 0.419 0.505
O27 0.762 0.058 0.525
O28 0.762 0.442 0.025
O29 0.837 0.679 0.220
O30 0.837 0.821 0.720
O31 0.848 0.213 0.701
O32 0.848 0.287 0.201
O33 0.861 0.047 0.325
O34 0.861 0.453 0.825
O35 0.997 0.117 0.874
O36 0.997 0.383 0.374

Properties
E_tot: -442.18 eV/cell
raw formation energy: -2.700 eV/atom

=====

In the order shown, the computed V values come out to 35.28, 14.52, 13.24, 12.94 Å³ per atom.